No. 1
# Tb3Ga8Au3 (PBE-GGA, relaxed)
# E = -111.455 eV for the cell shown
# Polymorph energy (0 for the lowest one) = 0.012 eV per atom
# ρ = 10.0 g/cm3
# Spin magnetization = 0.00 μB per formula unit
# Crystal system = orthorhombic
data_Tb3Ga8Au3
_symmetry_space_group_name_H-M 'I m m m'
_symmetry_Int_Tables_number 71
_symmetry_space_group_name_Hall '-I 2 2'
_cell_length_a 4.355
_cell_length_b 9.666
_cell_length_c 12.810
_cell_angle_alpha 90.00
_cell_angle_beta 90.00
_cell_angle_gamma 90.00
loop_
_atom_site_label
_atom_site_type_symbol
_atom_site_fract_x
_atom_site_fract_y
_atom_site_fract_z
Tb1 Tb 0.000 0.000 0.000
Tb2 Tb 0.000 0.000 0.308
Ga1 Ga 0.000 0.280 0.141
Ga2 Ga 0.000 0.371 0.337
Au1 Au 0.000 0.208 0.500
Au2 Au 0.000 0.500 0.000

***

No. 2
# TbGa3Au3 (PBE-GGA, relaxed)
# E = -47.880 eV for the cell shown
# Polymorph energy (0 for the lowest one) = 0.385 eV per atom
# ρ = 9.3 g/cm3
# Spin magnetization = 0.00 μB per formula unit
# Crystal system = cubic
data_TbGa3Au3
_symmetry_space_group_name_H-M 'P m -3 n'
_symmetry_Int_Tables_number 223
_symmetry_space_group_name_Hall '-P 4n 2 3'
_cell_length_a 7.004
_cell_length_b 7.004
_cell_length_c 7.004
_cell_angle_alpha 90.00
_cell_angle_beta 90.00
_cell_angle_gamma 90.00
loop_
_atom_site_label
_atom_site_type_symbol
_atom_site_fract_x
_atom_site_fract_y
_atom_site_fract_z
Tb1 Tb 0.000 0.000 0.000
Ga1 Ga 0.000 0.250 0.500
Au1 Au 0.000 0.500 0.250